Entry 1:
KSnH2: relaxed, PBE.

a = 5.1787 Å, b = 5.1787 Å, c = 12.2224 Å
α = 90.00°, β = 90.00°, γ = 90.00°
With the nearest neighbours (Å) after each atom.
Space group I-42d (No. 122)
One atom of each set of equivalent atoms:
K 0.0000 0.0000 0.0000  4 H 2.77
Sn 0.0000 0.0000 0.5000  4 H 2.11
H 0.1300 0.2500 0.6250  2 Sn 2.11

Calculated values
**Crystal system**: tetragonal
**Total magnetization**: 0.0000 μB per atom
**Energy relative to the lowest polymorph listed for this composition**: 213 meV/atom
**Calculated total energy**: -2.7432 eV per atom
**Density of states at the Fermi level**: 6.7 states/eV/cell

Entry 2:
Zn2CoHg: relaxed, PBE.

a = 3.8486 Å, b = 3.8486 Å, c = 8.1000 Å
α = 90.00°, β = 90.00°, γ = 90.00°
With the nearest neighbours (Å) after each atom.
Space group I4/mmm (No. 139)
One atom of each set of equivalent atoms:
Zn 0.0000 0.5000 0.2500  4 Zn 2.72, 4 Hg 2.79, 4 Co 2.79
Co 0.0000 0.0000 0.0000  4 Hg 2.72, 8 Zn 2.79
Hg 0.0000 0.0000 0.5000  4 Co 2.72, 8 Zn 2.79

Calculated values
**Crystal system**: tetragonal
**Total magnetization**: 0.0005 μB per atom
**Calculated formation energy**: 205 meV/atom
**Calculated total energy**: -2.2840 eV per atom
**Density of states at the Fermi level**: 5.7 states/eV/cell

Entry 3:
AlBr2Cl: relaxed, PBE.

a = 9.3830 Å, b = 9.3830 Å, c = 4.7972 Å
α = 90.00°, β = 90.00°, γ = 90.00°
With the nearest neighbours (Å) after each atom.
Space group I-42d (No. 122)
One atom of each set of equivalent atoms:
Al 0.0000 0.0000 0.0000  2 Cl 2.40, 4 Br 2.60
Br 0.1019 0.2500 0.1250  2 Al 2.60
Cl 0.0000 0.0000 0.5000  2 Al 2.40

Calculated values
**Crystal system**: tetragonal
**Formation energy without anion corrections**: -780 meV per atom
**Total magnetization**: 0.0000 μB per atom
**Energy relative to the lowest polymorph listed for this composition**: 414 meV/atom
**Calculated total energy**: -3.0139 eV per atom
**Density of states at the Fermi level**: 0.0 states/eV/cell

Entry 4:
LaGaCoRh2: relaxed, PBE.

a = 4.6347 Å, b = 4.6347 Å, c = 4.9197 Å
α = 90.00°, β = 90.00°, γ = 90.00°
With the nearest neighbours (Å) after each atom.
Space group P4/mmm (No. 123)
One atom of each set of equivalent atoms:
La 0.0000 0.0000 0.0000  2 Co 2.46
Ga 0.5000 0.5000 0.0000  4 La 3.28, 8 Rh 3.38
Co 0.0000 0.0000 0.5000  4 Rh 2.32, 2 La 2.46
Rh 0.0000 0.5000 0.5000  2 Co 2.32

Calculated values
**Crystal system**: tetragonal
**Total magnetization**: 0.3378 μB per atom
**Calculated formation energy**: 341 meV/atom
**Calculated total energy**: -5.6111 eV per atom
**Density of states at the Fermi level**: 4.3 states/eV/cell

Entry 5:
Tm2Mg3Ag4: relaxed, PBE.

a = 8.4318 Å, b = 4.8797 Å, c = 9.2709 Å
α = 90.00°, β = 90.19°, γ = 90.00°
With the nearest neighbours (Å) after each atom.
Space group C2/m (No. 12)
One atom of each set of equivalent atoms:
Tm 0.1662 0.0000 0.2827  7 Ag 2.97-3.07
Mg 0.0000 0.5000 0.5000  8 Ag 2.97-3.23
Mg 0.1672 0.0000 0.9220  4 Ag 2.89-2.95, 3 Mg 3.16-3.17
Ag 0.0008 0.5000 0.8485  1 Ag 2.81, 3 Mg 2.89-2.90, 3 Tm 3.06-3.07
Ag 0.1671 0.0000 0.6033  4 Mg 2.95-2.97, 4 Tm 2.97-3.01

Calculated values
**Crystal system**: monoclinic
**Total magnetization**: 0.0000 μB per atom
**Calculated formation energy**: -237 meV/atom
**Energy relative to the lowest polymorph listed for this composition**: 0 meV/atom
**Calculated total energy**: -3.0290 eV per atom
**Density of states at the Fermi level**: 13.8 states/eV/cell

Entry 6:
ThVCr: relaxed, PBE.

a = 6.9537 Å, b = 6.9537 Å, c = 4.3475 Å
α = 90.00°, β = 90.00°, γ = 120.00°
With the nearest neighbours (Å) after each atom.
Space group P-62m (No. 189)
One atom of each set of equivalent atoms:
Th 0.0000 0.4269 0.0000  5 V 2.97-3.00, 2 Cr 3.18
V 0.0000 0.0000 0.0000  6 Cr 2.74, 3 Th 2.97
V 0.3333 0.6667 0.5000  3 Cr 2.71, 6 Th 3.00
Cr 0.0000 0.7613 0.5000  4 V 2.71-2.74, 2 Cr 2.88

Calculated values
**Crystal system**: hexagonal
**Total magnetization**: 0.2457 μB per atom
**Calculated formation energy**: 393 meV/atom
**Calculated total energy**: -8.3273 eV per atom
**Density of states at the Fermi level**: 7.3 states/eV/cell

Entry 7:
HfZr2Tl3Se6: relaxed, PBE.

a = 6.4910 Å, b = 11.1991 Å, c = 9.0739 Å
α = 90.00°, β = 98.82°, γ = 90.00°
With the nearest neighbours (Å) after each atom.
Space group C2/m (No. 12)
One atom of each set of equivalent atoms:
Hf 0.0000 0.0000 0.0000  6 Se 2.69
Zr 0.0000 0.3334 0.0000  6 Se 2.72
Tl 0.0000 0.1669 0.5000  6 Se 3.35-3.72, 6 Tl 3.73-3.75
Tl 0.0000 0.5000 0.5000  6 Se 3.37-3.70, 6 Tl 3.73-3.75
Se 0.2044 0.1646 0.1826  1 Hf 2.69, 2 Zr 2.72
Se 0.2106 0.5000 0.1829  1 Hf 2.69, 2 Zr 2.72

Calculated values
**Crystal system**: monoclinic
**Formation energy without anion corrections**: -996 meV per atom
**Total magnetization**: 0.0000 μB per atom
**Calculated total energy**: -5.5839 eV per atom
**Density of states at the Fermi level**: 15.6 states/eV/cell

Entry 8:
Sr2Sc: relaxed, PBE.

a = 3.8902 Å, b = 3.8902 Å, c = 9.4295 Å
α = 90.00°, β = 90.00°, γ = 120.00°
With the nearest neighbours (Å) after each atom.
Space group P-3m1 (No. 164)
One atom of each set of equivalent atoms:
Sr 0.3333 0.6667 0.3067  3 Sc 3.66, 6 Sr 3.89
Sc 0.0000 0.0000 0.0000  6 Sr 3.66, 6 Sc 3.89

Calculated values
**Crystal system**: trigonal
**Total magnetization**: 0.3755 μB per atom
**Calculated formation energy**: 308 meV/atom
**Energy relative to the lowest polymorph listed for this composition**: 93 meV/atom
**Calculated total energy**: -2.9241 eV per atom
**Density of states at the Fermi level**: 4.3 states/eV/cell

Entry 9:
Pm2BiOsO8: relaxed, PBE.

a = 7.2574 Å, b = 7.3187 Å, c = 6.9638 Å
α = 90.00°, β = 90.00°, γ = 90.00°
With the nearest neighbours (Å) after each atom.
Space group Cmmm (No. 65)
One atom of each set of equivalent atoms:
Pm 0.0000 0.0000 0.2484  6 O 2.24-2.46
Bi 0.0000 0.5000 0.5000  6 O 2.24-2.42
Os 0.0000 0.5000 0.0000  6 O 1.88-1.94
O 0.0000 0.3221 0.2067  1 Os 1.94
O 0.1917 0.0000 0.5000  2 Pm 2.24, 1 Bi 2.24
O 0.2404 0.0000 0.0000  1 Os 1.88

Calculated values
**Crystal system**: orthorhombic
**Formation energy without anion corrections**: -2001 meV per atom
**Total magnetization**: 0.0459 μB per atom
**Calculated total energy**: -7.3576 eV per atom
**Density of states at the Fermi level**: 7.4 states/eV/cell

Entry 10:
Sc2CoCl: relaxed, PBE.

a = 3.6377 Å, b = 5.5810 Å, c = 7.1987 Å
α = 90.00°, β = 90.00°, γ = 90.00°
With the nearest neighbours (Å) after each atom.
Space group Immm (No. 71)
One atom of each set of equivalent atoms:
Sc 0.0000 0.0000 0.2410  2 Co 2.51, 2 Cl 2.60
Co 0.0000 0.5000 0.5000  4 Sc 2.51
Cl 0.0000 0.5000 0.0000  4 Sc 2.60

Calculated values
**Crystal system**: orthorhombic
**Formation energy without anion corrections**: -341 meV per atom
**Total magnetization**: 0.0000 μB per atom
**Energy relative to the lowest polymorph listed for this composition**: 447 meV/atom
**Calculated total energy**: -5.7447 eV per atom
**Density of states at the Fermi level**: 4.3 states/eV/cell

Entry 11:
LaTiO2: relaxed, PBE.

a = 5.9242 Å, b = 5.9242 Å, c = 5.9242 Å
α = 90.00°, β = 90.00°, γ = 90.00°
With the nearest neighbours (Å) after each atom.
Space group Fm-3m (No. 225)
One atom of each set of equivalent atoms:
La 0.0000 0.0000 0.0000  8 O 2.57
Ti 0.0000 0.0000 0.5000  8 O 2.57
O 0.2500 0.2500 0.2500  4 La 2.57, 4 Ti 2.57

Calculated values
**Crystal system**: cubic
**Formation energy without anion corrections**: -1908 meV per atom
**Total magnetization**: 0.2555 μB per atom
**Energy relative to the lowest polymorph listed for this composition**: 677 meV/atom
**Calculated total energy**: -7.5925 eV per atom
**Density of states at the Fermi level**: 6.5 states/eV/cell

Entry 12:
Dy5TlAg: relaxed, PBE.

a = 9.0475 Å, b = 9.1846 Å, c = 10.1078 Å
α = 90.00°, β = 92.53°, γ = 90.00°
With the nearest neighbours (Å) after each atom.
Space group C2/c (No. 15)
One atom of each set of equivalent atoms:
Dy 0.0000 0.1401 0.2500  2 Ag 2.84, 1 Tl 3.11
Dy 0.1656 0.2236 0.6646  1 Ag 3.00, 1 Tl 3.25, 1 Dy 3.35
Dy 0.1784 0.4111 0.0009  1 Ag 3.02, 2 Tl 3.11, 1 Dy 3.23
Tl 0.0000 0.4786 0.2500  7 Dy 3.11-3.25
Ag 0.0000 0.0000 0.0000  6 Dy 2.84-3.02

Calculated values
**Crystal system**: monoclinic
**Total magnetization**: 0.0000 μB per atom
**Calculated formation energy**: -20 meV/atom
**Calculated total energy**: -4.0529 eV per atom
**Density of states at the Fermi level**: 36.4 states/eV/cell